#i
Material: GaPt3Pb
Method: DFT, GGA-PBE
State: relaxed

Structure (CIF):
```
data_GaPt3Pb
_chemical_formula_sum 'Ga1 Pt3 Pb1'
_cell_length_a 4.739
_cell_length_b 4.739
_cell_length_c 4.739
_cell_angle_alpha 90.00
_cell_angle_beta 90.00
_cell_angle_gamma 90.00
_space_group_name_H-M_alt 'P m -3 m'
_space_group_IT_number 221
_space_group_name_Hall '-P 4 2 3'
loop_
_atom_site_label
_atom_site_fract_x
_atom_site_fract_y
_atom_site_fract_z
Ga1 0.000 0.000 0.000
Pt1 0.000 0.000 0.500
Pb1 0.500 0.500 0.500
```

Values from the calculation:
For the total magnetic moment, the calculation gives 0.00 μB per cell. The calculation puts the calculated volume at 106 Å³/cell. The calculation puts the density of states at the Fermi level at 0.48 states/eV/atom.

#ii
Material: GaPt3Pb
Method: DFT, GGA-PBE
State: relaxed

Structure (CIF):
```
data_GaPt3Pb
_chemical_formula_sum 'Ga1 Pt3 Pb1'
_cell_length_a 5.129
_cell_length_b 5.129
_cell_length_c 5.129
_cell_angle_alpha 90.00
_cell_angle_beta 90.00
_cell_angle_gamma 90.00
_space_group_name_H-M_alt 'P m -3 m'
_space_group_IT_number 221
_space_group_name_Hall '-P 4 2 3'
loop_
_atom_site_label
_atom_site_fract_x
_atom_site_fract_y
_atom_site_fract_z
Ga1 0.000 0.000 0.000
Pt1 0.000 0.500 0.500
Pb1 0.500 0.500 0.500
```

Values from the calculation:
For the total magnetic moment, the calculation gives 0.00 μB per cell. The calculation puts the calculated volume at 135 Å³/cell. The calculation puts the density of states at the Fermi level at 0.82 states/eV/atom.

Most stable one: #i, least stable one: #ii.

#i
Material: RbGa2Pb2
Method: DFT, GGA-PBE
State: relaxed

Structure (CIF):
```
data_RbGa2Pb2
_chemical_formula_sum 'Rb2 Ga4 Pb4'
_cell_length_a 4.851
_cell_length_b 4.851
_cell_length_c 13.551
_cell_angle_alpha 90.00
_cell_angle_beta 90.00
_cell_angle_gamma 90.00
_space_group_name_H-M_alt 'I 4/m m m'
_space_group_IT_number 139
_space_group_name_Hall '-I 4 2'
loop_
_atom_site_label
_atom_site_fract_x
_atom_site_fract_y
_atom_site_fract_z
Rb1 0.000 0.000 0.000
Ga1 0.000 0.500 0.250
Pb1 0.000 0.000 0.374
```

Values from the calculation:
For the total magnetic moment, the calculation gives 0.00 μB per cell. The calculation puts the calculated volume at 319 Å³/cell. The calculation puts the density of states at the Fermi level at 0.71 states/eV/atom.

#ii
Material: RbGa2Pb2
Method: DFT, GGA-PBE
State: relaxed

Structure (CIF):
```
data_RbGa2Pb2
_chemical_formula_sum 'Rb2 Ga4 Pb4'
_cell_length_a 9.282
_cell_length_b 9.282
_cell_length_c 3.472
_cell_angle_alpha 90.00
_cell_angle_beta 90.00
_cell_angle_gamma 90.00
_space_group_name_H-M_alt 'P 4/m b m'
_space_group_IT_number 127
_space_group_name_Hall '-P 4 2ab'
loop_
_atom_site_label
_atom_site_fract_x
_atom_site_fract_y
_atom_site_fract_z
Rb1 0.000 0.000 0.000
Ga1 0.140 0.360 0.000
Pb1 0.143 0.643 0.500
```

Values from the calculation:
For the total magnetic moment, the calculation gives 0.00 μB per cell. The calculation puts the calculated volume at 299 Å³/cell. The calculation puts the density of states at the Fermi level at 0.59 states/eV/atom.

#iii
Material: RbGa2Pb2
Method: DFT, GGA-PBE
State: relaxed

Structure (CIF):
```
data_RbGa2Pb2
_chemical_formula_sum 'Rb2 Ga4 Pb4'
_cell_length_a 5.123
_cell_length_b 5.123
_cell_length_c 11.578
_cell_angle_alpha 90.00
_cell_angle_beta 90.00
_cell_angle_gamma 90.00
_space_group_name_H-M_alt 'I 4/m m m'
_space_group_IT_number 139
_space_group_name_Hall '-I 4 2'
loop_
_atom_site_label
_atom_site_fract_x
_atom_site_fract_y
_atom_site_fract_z
Rb1 0.000 0.000 0.000
Ga1 0.000 0.000 0.388
Pb1 0.000 0.500 0.250
```

Values from the calculation:
For the total magnetic moment, the calculation gives 0.00 μB per cell. The calculation puts the calculated volume at 304 Å³/cell. The calculation puts the density of states at the Fermi level at 0.42 states/eV/atom.

Most stable one: #iii, least stable one: #ii.

#i
Material: Rb2GaPb2
Method: DFT, GGA-PBE
State: relaxed

Structure (CIF):
```
data_Rb2GaPb2
_chemical_formula_sum 'Rb8 Ga4 Pb8'
_cell_length_a 8.037
_cell_length_b 15.648
_cell_length_c 7.008
_cell_angle_alpha 90.00
_cell_angle_beta 90.00
_cell_angle_gamma 90.00
_space_group_name_H-M_alt 'I b a m'
_space_group_IT_number 72
_space_group_name_Hall '-I 2 2c'
loop_
_atom_site_label
_atom_site_fract_x
_atom_site_fract_y
_atom_site_fract_z
Rb1 0.181 0.145 0.000
Ga1 0.000 0.500 0.250
Pb1 0.187 0.397 0.000
```

Values from the calculation:
For the total magnetic moment, the calculation gives 0.00 μB per cell. The calculation puts the calculated volume at 881 Å³/cell. The calculation puts the density of states at the Fermi level at 0.70 states/eV/atom.

#ii
Material: Rb2GaPb2
Method: DFT, GGA-PBE
State: relaxed

Structure (CIF):
```
data_Rb2GaPb2
_chemical_formula_sum 'Rb4 Ga2 Pb4'
_cell_length_a 10.646
_cell_length_b 10.646
_cell_length_c 3.669
_cell_angle_alpha 90.00
_cell_angle_beta 90.00
_cell_angle_gamma 90.00
_space_group_name_H-M_alt 'P 4/m b m'
_space_group_IT_number 127
_space_group_name_Hall '-P 4 2ab'
loop_
_atom_site_label
_atom_site_fract_x
_atom_site_fract_y
_atom_site_fract_z
Rb1 0.197 0.303 0.000
Ga1 0.000 0.000 0.500
Pb1 0.100 0.600 0.500
```

Values from the calculation:
For the total magnetic moment, the calculation gives 0.00 μB per cell. The calculation puts the calculated volume at 416 Å³/cell. The calculation puts the density of states at the Fermi level at 0.65 states/eV/atom.

Most stable one: #i, least stable one: #ii.

#i
Material: Rb3GaPb
Method: DFT, GGA-PBE
State: relaxed

Structure (CIF):
```
data_Rb3GaPb
_chemical_formula_sum 'Rb12 Ga4 Pb4'
_cell_length_a 13.115
_cell_length_b 11.531
_cell_length_c 8.917
_cell_angle_alpha 90.00
_cell_angle_beta 128.97
_cell_angle_gamma 90.00
_space_group_name_H-M_alt 'C 1 2/m 1'
_space_group_IT_number 12
loop_
_space_group_symop_operation_xyz
'x,y,z'
'-x,-y,-z'
'-x,y,-z'
'x,-y,z'
'x+1/2,y+1/2,z'
'-x+1/2,-y+1/2,-z'
'-x+1/2,y+1/2,-z'
'x+1/2,-y+1/2,z'
loop_
_atom_site_label
_atom_site_fract_x
_atom_site_fract_y
_atom_site_fract_z
Rb1 0.052 0.000 0.269
Rb2 0.223 0.306 0.200
Ga1 0.210 0.500 0.825
Pb1 0.066 0.500 0.399
```

Values from the calculation:
For the total magnetic moment, the calculation gives 1.08 μB per cell. The calculation puts the calculated volume at 1048 Å³/cell. The calculation puts the density of states at the Fermi level at 0.80 states/eV/atom.

#ii
Material: Rb3GaPb
Method: DFT, GGA-PBE
State: relaxed

Structure (CIF):
```
data_Rb3GaPb
_chemical_formula_sum 'Rb3 Ga1 Pb1'
_cell_length_a 6.819
_cell_length_b 6.819
_cell_length_c 6.819
_cell_angle_alpha 90.00
_cell_angle_beta 90.00
_cell_angle_gamma 90.00
_space_group_name_H-M_alt 'P m -3 m'
_space_group_IT_number 221
_space_group_name_Hall '-P 4 2 3'
loop_
_atom_site_label
_atom_site_fract_x
_atom_site_fract_y
_atom_site_fract_z
Rb1 0.000 0.000 0.500
Ga1 0.000 0.000 0.000
Pb1 0.500 0.500 0.500
```

Values from the calculation:
For the total magnetic moment, the calculation gives 0.01 μB per cell. The calculation puts the calculated volume at 317 Å³/cell. The calculation puts the density of states at the Fermi level at 0.46 states/eV/atom.

Most stable one: #i, least stable one: #ii.